Record 1
LaMoPb2 | PBE | optimized geometry

extended XYZ file:
```
8
Lattice="4.551 0.000 0.000 0.000 4.551 0.000 2.275 2.275 10.997" Properties=species:S:1:pos:R:3 pbc="T T T"
Pb 3.287 1.138 2.749
Pb 1.263 3.413 2.749
Pb 3.413 3.539 8.247
Pb 5.688 5.563 8.247
Mo 2.275 2.275 0.000
Mo 2.275 4.551 5.498
La 0.000 0.000 0.000
La 4.551 2.275 5.498
```

Computed properties:
calculated volume = 28.467 Å³/atom
space group = No. 122
E above lowest polymorph = 380 meV per atom

---

Record 2
Pr5Te4N | PBE | optimized geometry

extended XYZ file:
```
10
Lattice="4.368 0.000 0.000 0.000 4.368 0.000 -2.184 -2.184 15.857" Properties=species:S:1:pos:R:3 pbc="T T T"
Pr 0.000 0.000 2.351
Pr 2.184 2.184 0.000
Pr 2.184 2.184 13.506
Pr 0.000 0.000 9.246
Pr 2.184 2.184 6.611
Te 0.000 0.000 12.668
Te 2.184 2.184 9.853
Te 0.000 0.000 6.005
Te 2.184 2.184 3.190
N 0.000 0.000 0.000
```

Computed properties:
calculated volume = 30.250 Å³/atom
formation energy without anion corrections = -1.3242 eV per atom
space group = No. 139

---

Record 3
LiCaTc | PBE | optimized geometry

extended XYZ file:
```
3
Lattice="4.753 0.000 0.000 2.376 4.116 0.000 2.376 1.372 3.881" Properties=species:S:1:pos:R:3 pbc="T T T"
Ca 7.129 4.116 2.910
Li 0.000 0.000 0.000
Tc 4.753 2.744 1.940
```

Computed properties:
calculated volume = 25.304 Å³/atom
space group = No. 216
E above lowest polymorph = 1192 meV per atom